The following is a PBE calculation of a relaxed structure of K3Rb6Cd2, from Alexandria.

Results
Calculated volume (Å³ per cell): 819
SG: I4/mmm, No. 139
Calculated formation energy (kJ per mole of atoms): 5.5
M_tot (μB per cell): 0.0

Unit cell a=16.8522 b=16.8522 c=16.8522 alpha=155.55 beta=155.55 gamma=34.85
Closest atoms and distances in Å follow each position.
Element x y z (fractional)
K 0.0000 0.0000 0.0000  8 Rb 4.45
K 0.1838 0.1838 0.0000  5 Rb 4.41-4.83
K 0.8162 0.8162 0.0000  5 Rb 4.41-4.83
Rb 0.0825 0.5825 0.5000  2 Cd 3.76
Rb 0.3208 0.3208 0.0000  1 Cd 4.31, 1 K 4.41, 4 Rb 4.74
Rb 0.4175 0.9175 0.5000  2 Cd 3.76
Rb 0.5825 0.0825 0.5000  2 Cd 3.76
Rb 0.6792 0.6792 0.0000  1 Cd 4.31, 1 K 4.41, 4 Rb 4.74
Rb 0.9175 0.4175 0.5000  2 Cd 3.76
Cd 0.4548 0.4548 0.0000  1 Cd 2.91
Cd 0.5452 0.5452 0.0000  1 Cd 2.91


The following is a PBE calculation of a relaxed structure of KRb5Cd2, from Alexandria.

Results
Calculated volume (Å³ per cell): 1058
SG: I4/mcm, No. 140
Calculated formation energy (kJ per mole of atoms): -0.3
M_tot (μB per cell): 0.0

Unit cell a=12.7196 b=12.7196 c=12.7196 alpha=133.68 beta=133.68 gamma=67.59
Closest atoms and distances in Å follow each position.
Element x y z (fractional)
K 0.2500 0.2500 0.0000  8 Rb 4.55
K 0.7500 0.7500 0.0000  8 Rb 4.55
Rb 0.0000 0.0000 0.0000  4 Cd 4.07
Rb 0.0432 0.5432 0.8385  3 Cd 3.89-4.13
Rb 0.2047 0.0432 0.5000  3 Cd 3.89-4.13
Rb 0.2953 0.7953 0.8385  3 Cd 3.89-4.13
Rb 0.4568 0.2953 0.5000  3 Cd 3.89-4.13
Rb 0.5000 0.5000 0.0000  4 Cd 4.07
Rb 0.5432 0.7047 0.5000  3 Cd 3.89-4.13
Rb 0.7047 0.2047 0.1615  3 Cd 3.89-4.13
Rb 0.7953 0.9568 0.5000  3 Cd 3.89-4.13
Rb 0.9568 0.4568 0.1615  3 Cd 3.89-4.13
Cd 0.1078 0.3922 0.5000  1 Cd 3.05
Cd 0.3922 0.8922 0.2844  1 Cd 3.05
Cd 0.6078 0.1078 0.7156  1 Cd 3.05
Cd 0.8922 0.6078 0.5000  1 Cd 3.05


The following is a PBE calculation of a relaxed structure of K2Rb7Cd2, from Alexandria.

Results
Calculated volume (Å³ per cell): 790
SG: C2/m, No. 12
Calculated formation energy (kJ per mole of atoms): 2.1
M_tot (μB per cell): 0.0

Unit cell a=9.5655 b=9.5655 c=9.5884 alpha=96.70 beta=96.70 gamma=112.84
Closest atoms and distances in Å follow each position.
Element x y z (fractional)
K 0.0731 0.0731 0.3140  2 Cd 3.80, 1 K 4.18
K 0.9269 0.9269 0.6860  2 Cd 3.80, 1 K 4.18
Rb 0.0421 0.5536 0.2634  2 Cd 3.94-3.97
Rb 0.2962 0.2962 0.9823  2 Cd 3.97, 1 Rb 4.26, 2 K 4.32-4.34
Rb 0.4464 0.9579 0.7366  2 Cd 3.94-3.97
Rb 0.5000 0.5000 0.5000  2 K 4.49, 6 Rb 4.93-4.98
Rb 0.5536 0.0421 0.2634  2 Cd 3.94-3.97
Rb 0.7038 0.7038 0.0177  2 Cd 3.97, 1 Rb 4.26, 2 K 4.32-4.34
Rb 0.9579 0.4464 0.7366  2 Cd 3.94-3.97
Cd 0.1501 0.8499 0.0000  2 K 3.80, 6 Rb 3.94-3.97
Cd 0.8499 0.1501 0.0000  2 K 3.80, 6 Rb 3.94-3.97


The following is a PBE calculation of a relaxed structure of K7Rb4Cd, from Alexandria.

Results
Calculated volume (Å³ per cell): 890
SG: C2/m, No. 12
Calculated formation energy (kJ per mole of atoms): 1.4
M_tot (μB per cell): 0.0

Unit cell a=8.4375 b=8.4375 c=16.8912 alpha=103.12 beta=103.12 gamma=49.82
Closest atoms and distances in Å follow each position.
Element x y z (fractional)
K 0.0000 0.0000 0.0000  2 Cd 3.55
K 0.1018 0.1018 0.6251  7 K 4.58-5.04, 5 Rb 4.80-5.04
K 0.2600 0.2600 0.9099  1 Cd 3.61
K 0.3642 0.3642 0.5356  8 K 4.58-5.04, 4 Rb 4.67-4.93
K 0.6358 0.6358 0.4644  8 K 4.58-5.04, 4 Rb 4.67-4.93
K 0.7400 0.7400 0.0901  1 Cd 3.61
K 0.8982 0.8982 0.3749  7 K 4.58-5.04, 5 Rb 4.80-5.04
Rb 0.1646 0.1646 0.2703  9 K 4.63-5.04, 3 Rb 4.75-4.82
Rb 0.4466 0.4466 0.2000  1 Cd 3.67
Rb 0.5534 0.5534 0.8000  1 Cd 3.67
Rb 0.8354 0.8354 0.7297  9 K 4.63-5.04, 3 Rb 4.75-4.82
Cd 0.5000 0.5000 0.0000  4 K 3.55-3.61, 2 Rb 3.67


> Which formula does entry 1 have?

K3Rb6Cd2


Repeat the first record exactly.
The following is a PBE calculation of a relaxed structure of K3Rb6Cd2, from Alexandria.

Results
Calculated volume (Å³ per cell): 819
SG: I4/mmm, No. 139
Calculated formation energy (kJ per mole of atoms): 5.5
M_tot (μB per cell): 0.0

Unit cell a=16.8522 b=16.8522 c=16.8522 alpha=155.55 beta=155.55 gamma=34.85
Closest atoms and distances in Å follow each position.
Element x y z (fractional)
K 0.0000 0.0000 0.0000  8 Rb 4.45
K 0.1838 0.1838 0.0000  5 Rb 4.41-4.83
K 0.8162 0.8162 0.0000  5 Rb 4.41-4.83
Rb 0.0825 0.5825 0.5000  2 Cd 3.76
Rb 0.3208 0.3208 0.0000  1 Cd 4.31, 1 K 4.41, 4 Rb 4.74
Rb 0.4175 0.9175 0.5000  2 Cd 3.76
Rb 0.5825 0.0825 0.5000  2 Cd 3.76
Rb 0.6792 0.6792 0.0000  1 Cd 4.31, 1 K 4.41, 4 Rb 4.74
Rb 0.9175 0.4175 0.5000  2 Cd 3.76
Cd 0.4548 0.4548 0.0000  1 Cd 2.91
Cd 0.5452 0.5452 0.0000  1 Cd 2.91